Entry 1:
SrTe2P | GGA-PBE | optimized geometry

Calculated values
- VASP energy: -3.6648 eV/atom
- Energy above the most stable polymorph in this dataset: 336 meV/atom
- V: 27.6 A^3/atom
- Uncorrected formation energy: -0.3210 eV per atom

Structure (extended XYZ):
```
4
Lattice="-2.2417 2.2417 5.4946 2.2417 -2.2417 5.4946 2.2417 2.2417 -5.4946" Properties=species:S:1:pos:R:3 pbc="T T T"
Sr 0.0000 0.0000 0.0000
Te 2.2417 0.0000 2.7473
Te 0.0000 0.0000 5.4946
P 0.0000 2.2417 2.7473
```

Entry 2:
Pr2Y3Pb4 | GGA-PBE | optimized geometry

Calculated values
- VASP energy: -5.4877 eV/atom
- Energy above the most stable polymorph in this dataset: 0 meV/atom
- V: 30.8 A^3/atom

Structure (extended XYZ):
```
18
Lattice="8.5114 0.0000 0.0000 0.0000 8.4838 0.0000 -2.9912 0.0000 7.6732" Properties=species:S:1:pos:R:3 pbc="T T T"
Pr 1.4689 1.5203 0.4473
Pr -0.0267 2.7215 4.2838
Pr 5.5469 5.7622 3.3893
Pr 4.0513 6.9634 7.2259
Y 1.3708 5.6014 1.8367
Y -0.1248 7.1243 5.6733
Y 2.7601 0.0000 3.8366
Y 4.2557 4.2419 0.0000
Y 5.6450 1.3595 1.9999
Y 4.1494 2.8824 5.8365
Pb -1.7631 4.5911 6.3952
Pb -0.2675 8.1346 2.5586
Pb 1.6121 1.1881 6.5972
Pb 3.1077 3.0538 2.7607
Pb 2.4125 5.4300 4.9125
Pb 3.9081 7.2957 1.0759
Pb 5.7877 0.3492 5.1145
Pb 7.2833 3.8927 1.2779
```

Entry 3:
SrSiPt3 | GGA-PBE | optimized geometry

Calculated values
- VASP energy: -5.6108 eV/atom
- Energy above the most stable polymorph in this dataset: 248 meV/atom
- V: 20.6 A^3/atom
- Uncorrected formation energy: -0.5654 eV per atom

Structure (extended XYZ):
```
5
Lattice="4.6851 0.0000 0.0000 0.0000 4.6851 0.0000 0.0000 0.0000 4.6851" Properties=species:S:1:pos:R:3 pbc="T T T"
Sr 0.0000 0.0000 0.0000
Si 2.3425 2.3425 2.3425
Pt 0.0000 2.3425 2.3425
Pt 2.3425 0.0000 2.3425
Pt 2.3425 2.3425 0.0000
```

Entry 4:
NpU2S4 | GGA-PBE | optimized geometry

Calculated values
- VASP energy: -8.8190 eV/atom
- Energy above the most stable polymorph in this dataset: 0 meV/atom
- V: 20.1 A^3/atom
- Uncorrected formation energy: -1.3866 eV per atom

Structure (extended XYZ):
```
14
Lattice="-4.1220 4.1220 4.1426 4.1220 -4.1220 4.1426 4.1220 4.1220 -4.1426" Properties=species:S:1:pos:R:3 pbc="T T T"
Np 0.0000 0.0000 0.0000
Np 0.0000 4.1220 2.0713
U 2.0610 -1.0130 3.1069
U 3.1090 2.0610 1.0356
U 2.0610 5.1350 -1.0356
U 1.0130 2.0610 5.1782
S 3.4928 2.6852 -1.6610
S 5.5588 0.6292 0.4103
S 0.6292 2.6852 -0.4103
S 0.6292 1.4368 2.4816
S 1.4368 -0.6292 5.8036
S 3.4928 1.4368 3.7323
S 2.6852 4.7511 1.6610
S -1.4368 3.4928 4.5529
```

Entry 5:
CaSn3S | GGA-PBE | optimized geometry

Calculated values
- VASP energy: -2.6952 eV/atom
- Energy above the most stable polymorph in this dataset: 993 meV/atom
- V: 39.2 A^3/atom
- Uncorrected formation energy: 0.9323 eV per atom

Structure (extended XYZ):
```
5
Lattice="5.8105 0.0000 0.0000 0.0000 5.8105 0.0000 0.0000 0.0000 5.8105" Properties=species:S:1:pos:R:3 pbc="T T T"
Ca 0.0000 0.0000 0.0000
Sn 0.0000 0.0000 2.9053
Sn 0.0000 2.9053 0.0000
Sn 2.9053 0.0000 0.0000
S 2.9053 2.9053 2.9053
```

Entry 6:
Nd3Y6HoEr2 | GGA-PBE | optimized geometry

Calculated values
- VASP energy: -5.5457 eV/atom
- V: 32.5 A^3/atom

Structure (extended XYZ):
```
12
Lattice="3.1082 -5.3799 0.0000 3.1082 5.3799 0.0000 -2.0646 0.0000 11.6682" Properties=species:S:1:pos:R:3 pbc="T T T"
Nd 0.0000 0.0000 0.0000
Nd 3.1082 1.7945 0.0000
Nd 3.1082 -1.7945 0.0000
Y 1.0374 1.7937 2.9655
Y 0.0053 0.0000 8.7039
Y 1.0374 -1.7937 2.9655
Y 3.1145 1.7937 8.7027
Y 4.1465 0.0000 2.9643
Y 3.1145 -1.7937 8.7027
Ho 2.0759 0.0000 5.8341
Er 2.0759 3.5867 5.8341
Er 2.0759 -3.5867 5.8341
```

Entry 7:
PbBrNO2 | GGA-PBE | optimized geometry

Calculated values
- VASP energy: -3.7604 eV/atom
- V: 18.3 A^3/atom
- Uncorrected formation energy: 0.9642 eV per atom

Structure (extended XYZ):
```
5
Lattice="4.4859 0.0000 0.0000 0.0000 4.4859 0.0000 0.0000 0.0000 4.5455" Properties=species:S:1:pos:R:3 pbc="T T T"
Pb 0.0000 0.0000 0.0000
Br 2.2429 2.2429 2.2728
N 0.0000 0.0000 2.2728
O 0.0000 2.2429 0.0000
O 2.2429 0.0000 0.0000
```

Entry 8:
Cd5InRh2 | GGA-PBE | optimized geometry

Calculated values
- VASP energy: -2.8804 eV/atom
- V: 20.6 A^3/atom

Structure (extended XYZ):
```
8
Lattice="-2.2363 4.2696 4.3225 2.2363 -4.2696 4.3225 2.2363 4.2696 -4.3225" Properties=species:S:1:pos:R:3 pbc="T T T"
Cd 0.0000 0.0000 0.0000
Cd 2.2363 -1.4775 1.5226
Cd 2.2363 1.4775 1.5226
Cd 0.0000 2.7921 2.7999
Cd 0.0000 5.7471 2.7999
In 0.0000 4.2696 0.0000
Rh 0.0000 0.0000 2.7910
Rh 0.0000 0.0000 5.8539
```

Entry 9:
ZnPbF4 | GGA-PBE | optimized geometry

Calculated values
- VASP energy: -4.4297 eV/atom
- V: 15.7 A^3/atom
- Uncorrected formation energy: -2.3518 eV per atom

Structure (extended XYZ):
```
12
Lattice="-2.7954 2.7954 6.0261 2.7954 -2.7954 6.0261 2.7954 2.7954 -6.0261" Properties=species:S:1:pos:R:3 pbc="T T T"
Zn 0.0000 1.3977 1.5065
Zn 2.7954 1.3977 4.5196
Pb 2.7954 1.3977 -1.5065
Pb 0.0000 1.3977 7.5326
F 4.1809 0.4923 0.5004
F 0.9055 -0.0123 2.5127
F 3.7009 -0.0123 3.5134
F 1.4100 2.3032 0.5004
F 1.3854 0.4923 5.5257
F -0.9055 2.8078 2.5127
F 1.8900 2.8078 3.5134
F -1.3854 2.3032 5.5257
```

Entry 10:
BaCuAs2 | GGA-PBE | optimized geometry

Calculated values
- VASP energy: -4.3668 eV/atom
- V: 27.3 A^3/atom

Structure (extended XYZ):
```
4
Lattice="4.9031 0.0000 0.0000 0.0000 4.0264 0.0000 -0.0198 0.0000 5.5403" Properties=species:S:1:pos:R:3 pbc="T T T"
Ba 0.0000 0.0000 0.0000
Cu 2.4416 0.0000 2.7702
As 2.4267 2.0132 4.1480
As 2.4565 2.0132 1.3923
```

Entry 11:
Pm2Be4Si3Rh | GGA-PBE | optimized geometry

Calculated values
- VASP energy: -5.3141 eV/atom
- V: 15.0 A^3/atom
- Uncorrected formation energy: -0.5114 eV per atom

Structure (extended XYZ):
```
10
Lattice="3.9089 0.0000 0.0000 0.0000 3.9089 0.0000 0.0000 0.0000 9.8364" Properties=species:S:1:pos:R:3 pbc="T T T"
Pm 0.0000 1.9544 2.4058
Pm 1.9544 0.0000 7.4306
Be 0.0000 0.0000 0.0000
Be 0.0000 1.9544 6.1892
Be 1.9544 0.0000 3.6472
Be 1.9544 1.9544 0.0000
Si 0.0000 1.9544 8.5543
Si 1.9544 0.0000 1.2821
Si 1.9544 1.9544 4.9182
Rh 0.0000 0.0000 4.9182
```

Entry 12:
Li3MgSe | GGA-PBE | optimized geometry

Calculated values
- VASP energy: -1.9137 eV/atom
- Energy above the most stable polymorph in this dataset: 717 meV/atom
- V: 24.6 A^3/atom
- Uncorrected formation energy: 0.2505 eV per atom

Structure (extended XYZ):
```
5
Lattice="4.9704 0.0000 0.0000 0.0000 4.9704 0.0000 0.0000 0.0000 4.9704" Properties=species:S:1:pos:R:3 pbc="T T T"
Li 0.0000 0.0000 2.4852
Li 0.0000 2.4852 0.0000
Li 2.4852 0.0000 0.0000
Mg 0.0000 0.0000 0.0000
Se 2.4852 2.4852 2.4852
```

Calculated magnetic moment in order - 0.0; 0.0; 0.0; 20.5; 1.3; 0.0; 4.2; 0.0; 0.0; 0.0; 0.0; 0.0 μB per cell